Arrangement one

Entry from Alexandria: a relaxed SrFeP2S crystal (PBE).

Cell lengths 4.273, 4.273, 5.440 Å; angles 90.00, 90.00, 90.00 degrees
Space group P4/mmm (No. 123)
Symmetry-distinct sites (fractional):
1 Sr 0.000 0.000 0.000
2 Fe 0.500 0.500 0.500
3 P 0.000 0.500 0.500
4 S 0.500 0.500 0.000

***

Arrangement two

Entry from Alexandria: a relaxed SrFeP2S crystal (PBE).

Cell lengths 5.344, 5.344, 5.378 Å; angles 90.00, 90.00, 90.00 degrees
Space group P4/mmm (No. 123)
Symmetry-distinct sites (fractional):
1 Sr 0.000 0.000 0.000
2 Fe 0.500 0.500 0.500
3 P 0.000 0.500 0.000
4 S 0.000 0.000 0.500

***

Stability, highest: arrangement one

***

Arrangement one

Entry from Alexandria: a relaxed TaFePS2 crystal (PBE).

Cell lengths 4.711, 4.711, 4.949 Å; angles 90.00, 90.00, 90.00 degrees
Space group P4/mmm (No. 123)
Symmetry-distinct sites (fractional):
1 Ta 0.000 0.000 0.000
2 Fe 0.500 0.500 0.500
3 P 0.000 0.000 0.500
4 S 0.000 0.500 0.000

***

Arrangement two

Entry from Alexandria: a relaxed TaFePS2 crystal (PBE).

Cell lengths 4.318, 4.318, 4.383 Å; angles 90.00, 90.00, 90.00 degrees
Space group P4/mmm (No. 123)
Symmetry-distinct sites (fractional):
1 Ta 0.000 0.000 0.000
2 Fe 0.500 0.500 0.500
3 P 0.500 0.500 0.000
4 S 0.000 0.500 0.500

***

Stability, highest: arrangement one

***

Arrangement one

Entry from Alexandria: a relaxed TiFePS2 crystal (PBE).

Cell lengths 4.628, 4.628, 4.761 Å; angles 90.00, 90.00, 90.00 degrees
Space group P4/mmm (No. 123)
Symmetry-distinct sites (fractional):
1 Ti 0.000 0.000 0.000
2 Fe 0.500 0.500 0.500
3 P 0.000 0.000 0.500
4 S 0.000 0.500 0.000

***

Arrangement two

Entry from Alexandria: a relaxed TiFePS2 crystal (PBE).

Cell lengths 4.556, 4.556, 4.131 Å; angles 90.00, 90.00, 90.00 degrees
Space group P4/mmm (No. 123)
Symmetry-distinct sites (fractional):
1 Ti 0.000 0.000 0.000
2 Fe 0.500 0.500 0.500
3 P 0.500 0.500 0.000
4 S 0.000 0.500 0.500

***

Stability, highest: arrangement two

***

Arrangement one

Entry from Alexandria: a relaxed TlFePS2 crystal (PBE).

Cell lengths 5.407, 5.407, 5.346 Å; angles 90.00, 90.00, 90.00 degrees
Space group P4/mmm (No. 123)
Symmetry-distinct sites (fractional):
1 Tl 0.000 0.000 0.000
2 Fe 0.500 0.500 0.500
3 P 0.000 0.000 0.500
4 S 0.000 0.500 0.000

***

Arrangement two

Entry from Alexandria: a relaxed TlFePS2 crystal (PBE).

Cell lengths 4.786, 4.786, 4.353 Å; angles 90.00, 90.00, 90.00 degrees
Space group P4/mmm (No. 123)
Symmetry-distinct sites (fractional):
1 Tl 0.000 0.000 0.000
2 Fe 0.500 0.500 0.500
3 P 0.500 0.500 0.000
4 S 0.000 0.500 0.500

***

Stability, highest: arrangement two

***

Arrangement one

Entry from Alexandria: a relaxed FePWS2 crystal (PBE).

Cell lengths 4.610, 4.610, 4.862 Å; angles 90.00, 90.00, 90.00 degrees
Space group P4/mmm (No. 123)
Symmetry-distinct sites (fractional):
1 Fe 0.000 0.000 0.000
2 P 0.500 0.500 0.000
3 W 0.500 0.500 0.500
4 S 0.000 0.500 0.500

***

Arrangement two

Entry from Alexandria: a relaxed FePWS2 crystal (PBE).

Cell lengths 4.275, 4.275, 4.285 Å; angles 90.00, 90.00, 90.00 degrees
Space group P4/mmm (No. 123)
Symmetry-distinct sites (fractional):
1 Fe 0.000 0.000 0.000
2 P 0.000 0.000 0.500
3 W 0.500 0.500 0.500
4 S 0.000 0.500 0.000

***

Stability, highest: arrangement one

***

Arrangement one

Entry from Alexandria: a relaxed ZrFePS2 crystal (PBE).

Cell lengths 4.406, 4.406, 4.417 Å; angles 90.00, 90.00, 90.00 degrees
Space group P4/mmm (No. 123)
Symmetry-distinct sites (fractional):
1 Zr 0.000 0.000 0.000
2 Fe 0.500 0.500 0.500
3 P 0.500 0.500 0.000
4 S 0.000 0.500 0.500

***

Arrangement two

Entry from Alexandria: a relaxed ZrFePS2 crystal (PBE).

Cell lengths 4.869, 4.869, 5.055 Å; angles 90.00, 90.00, 90.00 degrees
Space group P4/mmm (No. 123)
Symmetry-distinct sites (fractional):
1 Zr 0.000 0.000 0.000
2 Fe 0.500 0.500 0.500
3 P 0.000 0.000 0.500
4 S 0.000 0.500 0.000

***

Stability, highest: arrangement one

***

Arrangement one

Entry from Alexandria: a relaxed Fe3SbP crystal (PBE).

Cell lengths 4.738, 4.738, 4.738 Å; angles 90.00, 90.00, 90.00 degrees
Space group Pm-3m (No. 221)
Symmetry-distinct sites (fractional):
1 Fe 0.000 0.000 0.500
2 Sb 0.000 0.000 0.000
3 P 0.500 0.500 0.500

***

Arrangement two

Entry from Alexandria: a relaxed Fe3SbP crystal (PBE).

Cell lengths 4.250, 4.250, 4.250 Å; angles 90.00, 90.00, 90.00 degrees
Space group Pm-3m (No. 221)
Symmetry-distinct sites (fractional):
1 Fe 0.000 0.000 0.500
2 Sb 0.500 0.500 0.500
3 P 0.000 0.000 0.000

***

Stability, highest: arrangement two

***

Arrangement one

Entry from Alexandria: a relaxed FeSbTe2P crystal (PBE).

Cell lengths 4.971, 4.971, 4.975 Å; angles 90.00, 90.00, 90.00 degrees
Space group P4/mmm (No. 123)
Symmetry-distinct sites (fractional):
1 Fe 0.000 0.000 0.000
2 Sb 0.000 0.000 0.500
3 Te 0.000 0.500 0.000
4 P 0.500 0.500 0.500

***

Arrangement two

Entry from Alexandria: a relaxed FeSbTe2P crystal (PBE).

Cell lengths 5.295, 5.295, 4.999 Å; angles 90.00, 90.00, 90.00 degrees
Space group P4/mmm (No. 123)
Symmetry-distinct sites (fractional):
1 Fe 0.000 0.000 0.000
2 Sb 0.500 0.500 0.000
3 Te 0.000 0.500 0.500
4 P 0.500 0.500 0.500

***

Stability, highest: arrangement one

***

Arrangement one

Entry from Alexandria: a relaxed Sc3FeP crystal (PBE).

Cell lengths 4.689, 4.689, 4.689 Å; angles 90.00, 90.00, 90.00 degrees
Space group Pm-3m (No. 221)
Symmetry-distinct sites (fractional):
1 Sc 0.000 0.000 0.500
2 Fe 0.000 0.000 0.000
3 P 0.500 0.500 0.500

***

Arrangement two

Entry from Alexandria: a relaxed Sc3FeP crystal (PBE).

Cell lengths 4.815, 4.815, 4.815 Å; angles 90.00, 90.00, 90.00 degrees
Space group Pm-3m (No. 221)
Symmetry-distinct sites (fractional):
1 Sc 0.000 0.000 0.500
2 Fe 0.500 0.500 0.500
3 P 0.000 0.000 0.000

***

Stability, highest: arrangement one

***

Arrangement one

Entry from Alexandria: a relaxed ScFeP2 crystal (PBE).

Cell lengths 4.017, 3.473, 9.761 Å; angles 90.00, 90.00, 90.00 degrees
Space group Amm2 (No. 38)
Symmetry-distinct sites (fractional):
1 Sc 0.000 0.000 0.000
2 Fe 0.500 0.000 0.787
3 P 0.000 0.000 0.714
4 P 0.500 0.000 0.419

***

Arrangement two

Entry from Alexandria: a relaxed ScFeP2 crystal (PBE).

Cell lengths 6.104, 6.104, 6.104 Å; angles 90.00, 90.00, 90.00 degrees
Space group F-43m (No. 216)
Symmetry-distinct sites (fractional):
1 Sc 0.000 0.000 0.000
2 Fe 0.250 0.250 0.750
3 P 0.000 0.000 0.500
4 P 0.250 0.250 0.250

***

Arrangement three

Entry from Alexandria: a relaxed ScFeP2 crystal (PBE).

Cell lengths 2.854, 2.854, 7.915 Å; angles 90.00, 90.00, 90.00 degrees
Space group P4mm (No. 99)
Symmetry-distinct sites (fractional):
1 Sc 0.000 0.000 0.000
2 Fe 0.500 0.500 0.250
3 P 0.000 0.000 0.382
4 P 0.500 0.500 0.761

***

Stability, highest: arrangement one

***

Arrangement one

Entry from Alexandria: a relaxed ScFeP2 crystal (PBE).

Cell lengths 3.0870, 3.0870, 21.8073 Å; angles 90.00, 90.00, 120.00 degrees
Space group R3m (No. 160, hexagonal axes)
Symmetry-distinct sites (fractional):
1 Sc 0.0000 0.0000 0.0000
2 Fe 0.0000 0.0000 0.7608
3 P 0.0000 0.0000 0.2382
4 P 0.0000 0.0000 0.4940

***

Arrangement two

Entry from Alexandria: a relaxed ScFeP2 crystal (PBE).

Cell lengths 2.936, 3.441, 11.661 Å; angles 90.00, 90.00, 90.00 degrees
Space group Imm2 (No. 44)
Symmetry-distinct sites (fractional):
1 Sc 0.000 0.000 0.000
2 Fe 0.000 0.500 0.741
3 P 0.000 0.000 0.388
4 P 0.000 0.500 0.171

***

Stability, highest: arrangement two

***

Arrangement one

Entry from Alexandria: a relaxed ScFeP2 crystal (PBE).

Cell lengths 4.396, 4.396, 14.164 Å; angles 90.00, 90.00, 90.00 degrees
Space group I-42d (No. 122)
Symmetry-distinct sites (fractional):
1 Sc 0.000 0.000 0.000
2 Fe 0.000 0.000 0.500
3 P 0.117 0.250 0.625

***

Arrangement two

Entry from Alexandria: a relaxed ScFeP2 crystal (PBE).

Cell lengths 6.122, 6.122, 6.122 Å; angles 90.00, 90.00, 90.00 degrees
Space group Fm-3m (No. 225)
Symmetry-distinct sites (fractional):
1 Sc 0.000 0.000 0.000
2 Fe 0.000 0.000 0.500
3 P 0.250 0.250 0.250

***

Stability, highest: arrangement one